[1]
Density functional theory data (GGA-PBE) for a relaxed structure of Th4TlAu.

Cell lengths 7.528, 7.528, 12.825 Å; angles 90.00, 90.00, 90.00 degrees
Space group I4/mcm (No. 140)
Inequivalent atoms, fractional coordinates:
1 Th 0.154 0.346 0.139 (multiplicity 16)
2 Tl 0.000 0.000 0.000 (multiplicity 4)
3 Au 0.000 0.000 0.250 (multiplicity 4)

Summary:
* calculated formation energy: -0.82 eV/f.u.
* VASP energy: -6.02 eV/atom
* E above lowest polymorph: 93 meV/atom



[2]
Density functional theory data (GGA-PBE) for a relaxed structure of Na2YBr.

Cell lengths 8.125, 8.125, 8.125 Å; angles 90.00, 90.00, 90.00 degrees
Space group Fm-3m (No. 225)
Inequivalent atoms, fractional coordinates:
1 Na 0.250 0.250 0.250 (multiplicity 8)
2 Y 0.000 0.000 0.000 (multiplicity 4)
3 Br 0.000 0.000 0.500 (multiplicity 4)

Summary:
* VASP energy: -2.55 eV/atom
* E above lowest polymorph: 365 meV/atom
* energy relative to the elements, uncorrected: 0.59 eV/f.u.



[3]
Density functional theory data (GGA-PBE) for a relaxed structure of Ta2PbCl.

Cell lengths 3.042, 4.244, 6.245 Å; angles 90.00, 92.88, 90.00 degrees
Space group P2/m (No. 10)
Inequivalent atoms, fractional coordinates:
1 Ta 0.091 0.000 0.283 (multiplicity 2)
2 Pb 0.500 0.500 0.000 (multiplicity 1)
3 Cl 0.000 0.500 0.500 (multiplicity 1)

Summary:
* VASP energy: -6.77 eV/atom
* E above lowest polymorph: 625 meV/atom
* energy relative to the elements, uncorrected: 2.18 eV/f.u.



[4]
Density functional theory data (GGA-PBE) for a relaxed structure of Ce2Bi5Pb.

Cell lengths 6.951, 13.852, 5.039 Å; angles 90.00, 90.00, 90.00 degrees
Space group Pbam (No. 55)
Inequivalent atoms, fractional coordinates:
1 Ce 0.234 0.129 0.000 (multiplicity 4)
2 Bi 0.000 0.000 0.500 (multiplicity 2)
3 Bi 0.014 0.749 0.500 (multiplicity 4)
4 Bi 0.237 0.379 0.000 (multiplicity 4)
5 Pb 0.000 0.500 0.500 (multiplicity 2)

Summary:
* calculated formation energy: -3.58 eV/f.u.
* VASP energy: -4.82 eV/atom



Among the records above, which one has the highest VASP energy?
Na2YBr